Entry 1:
The following is a DFT calculation (PBE-GGA) of an optimized crystal structure of CoRuCl2.

Cell lengths 7.8464, 7.8464, 7.8464 Å; angles 23.07, 23.07, 23.07 degrees
Sites, in units of the cell vectors:
Co1 0.0000 0.0000 0.0000
Ru1 0.5000 0.5000 0.5000
Cl1 0.3995 0.3995 0.3995
Cl2 0.6005 0.6005 0.6005

Output
The value obtained for the magnetic moment is 1.3 Bohr magnetons per cell. The value obtained for the volume is 65.11 Å³/f.u. The symmetry is R-3m (166). For the raw formation energy, the calculation gives 0.3047 eV/atom. For the total energy, the calculation gives -4.714 eV per atom. As for the energy above the lowest structure with this stoichiometry: 276 meV/atom. The density comes out at 5.9 Mg/m³.

Entry 2:
The following is a DFT calculation (PBE-GGA) of an optimized crystal structure of AgPAuS2.

Cell lengths 4.5815, 4.5815, 4.8040 Å; angles 90.00, 90.00, 90.00 degrees
Sites, in units of the cell vectors:
Ag1 0.0000 0.0000 0.0000
P1 0.5000 0.5000 0.5000
Au1 0.5000 0.5000 0.0000
S1 0.0000 0.5000 0.5000
S2 0.5000 0.0000 0.5000

Output
The value obtained for the magnetic moment is 0.0 Bohr magnetons per cell. The value obtained for the volume is 100.84 Å³/f.u. The symmetry is P4/mmm (123). For the raw formation energy, the calculation gives 0.4985 eV/atom. For the total energy, the calculation gives -3.460 eV per atom. As for the energy above the lowest structure with this stoichiometry: 0 meV/atom. The density comes out at 6.6 Mg/m³.